# 1
VASP calculation (PBE) on an optimized crystal structure of Tb2NdIrO8.

Lattice parameters (Å, degrees): 5.092 6.912 5.099 90.00 90.21 90.00
Space group P2/m (No. 10)
Symmetry-distinct sites (fractional):
Tb (0.000, 0.250, 0.000) [2 per cell]
Nd (0.500, 0.000, 0.500) [1 per cell]
Ir (0.500, 0.500, 0.500) [1 per cell]
O (0.187, 0.000, 0.816) [2 per cell]
O (0.236, 0.500, 0.766) [2 per cell]
O (0.314, 0.296, 0.316) [4 per cell]

Results
formation energy without anion corrections = -2310 meV per atom

# 2
VASP calculation (PBE) on an optimized crystal structure of TbNdIrO6.

Lattice parameters (Å, degrees): 5.5533 5.5533 9.9391 90.00 90.00 120.00
Space group P-31c (No. 163)
Symmetry-distinct sites (fractional):
Tb (0.3333, 0.6667, 0.2500) [2 per cell]
Nd (0.0000, 0.0000, 0.0000) [2 per cell]
Ir (0.3333, 0.6667, 0.7500) [2 per cell]
O (0.0428, 0.3751, 0.6382) [12 per cell]

Results
formation energy without anion corrections = -2166 meV per atom

# 3
VASP calculation (PBE) on an optimized crystal structure of NdTl2IrO6.

Lattice parameters (Å, degrees): 5.929 5.950 10.263 90.00 125.19 90.00
Space group P2_1/c (No. 14)
Symmetry-distinct sites (fractional):
Nd (0.000, 0.000, 0.000) [2 per cell]
Tl (0.256, 0.026, 0.748) [4 per cell]
Ir (0.500, 0.000, 0.500) [2 per cell]
O (0.188, 0.024, 0.276) [4 per cell]
O (0.287, 0.691, 0.046) [4 per cell]
O (0.365, 0.235, 0.048) [4 per cell]

Results
formation energy without anion corrections = -1338 meV per atom

# 4
VASP calculation (PBE) on an optimized crystal structure of NdTlIrO6.

Lattice parameters (Å, degrees): 5.7625 5.7625 8.9219 90.00 90.00 120.00
Space group P-31c (No. 163)
Symmetry-distinct sites (fractional):
Nd (0.3333, 0.6667, 0.2500) [2 per cell]
Tl (0.0000, 0.0000, 0.0000) [2 per cell]
Ir (0.3333, 0.6667, 0.7500) [2 per cell]
O (0.0518, 0.3884, 0.6271) [12 per cell]

Results
formation energy without anion corrections = -1285 meV per atom

# 5
VASP calculation (PBE) on an optimized crystal structure of NdTl2IrO8.

Lattice parameters (Å, degrees): 5.098 5.130 6.849 91.80 92.56 90.88
Space group P-1 (No. 2)
Symmetry-distinct sites (fractional):
Nd (0.000, 0.000, 0.000) [1 per cell]
Tl (0.473, 0.480, 0.748) [2 per cell]
Ir (0.000, 0.000, 0.500) [1 per cell]
O (0.189, 0.831, 0.299) [2 per cell]
O (0.209, 0.852, 0.708) [2 per cell]
O (0.247, 0.296, 0.497) [2 per cell]
O (0.284, 0.343, 0.018) [2 per cell]

Results
formation energy without anion corrections = -1061 meV per atom

# 6
VASP calculation (PBE) on an optimized crystal structure of NdTmIrO6.

Lattice parameters (Å, degrees): 5.4805 5.4805 10.0177 90.00 90.00 120.00
Space group P-31c (No. 163)
Symmetry-distinct sites (fractional):
Nd (0.0000, 0.0000, 0.0000) [2 per cell]
Tm (0.3333, 0.6667, 0.2500) [2 per cell]
Ir (0.3333, 0.6667, 0.7500) [2 per cell]
O (0.0361, 0.3740, 0.6393) [12 per cell]

Results
formation energy without anion corrections = -2204 meV per atom

# 7
VASP calculation (PBE) on an optimized crystal structure of NdYIrO6.

Lattice parameters (Å, degrees): 5.5437 5.5437 9.9427 90.00 90.00 120.00
Space group P-31c (No. 163)
Symmetry-distinct sites (fractional):
Nd (0.0000, 0.0000, 0.0000) [2 per cell]
Y (0.3333, 0.6667, 0.2500) [2 per cell]
Ir (0.3333, 0.6667, 0.7500) [2 per cell]
O (0.0418, 0.3752, 0.6383) [12 per cell]

Results
formation energy without anion corrections = -2163 meV per atom

# 8
VASP calculation (PBE) on an optimized crystal structure of NdZrIrO6.

Lattice parameters (Å, degrees): 5.3697 5.3697 10.2630 90.00 90.00 120.00
Space group P-31c (No. 163)
Symmetry-distinct sites (fractional):
Nd (0.0000, 0.0000, 0.0000) [2 per cell]
Zr (0.3333, 0.6667, 0.2500) [2 per cell]
Ir (0.3333, 0.6667, 0.7500) [2 per cell]
O (0.0183, 0.3663, 0.6410) [12 per cell]

Results
formation energy without anion corrections = -2266 meV per atom

# 9
VASP calculation (PBE) on an optimized crystal structure of Nd4IrOs.

Lattice parameters (Å, degrees): 9.190 13.437 6.448 90.00 123.76 90.00
Space group C2/c (No. 15)
Symmetry-distinct sites (fractional):
Nd (0.131, 0.175, 0.098) [8 per cell]
Nd (0.196, 0.435, 0.266) [8 per cell]
Ir (0.000, 0.364, 0.750) [4 per cell]
Os (0.000, 0.002, 0.750) [4 per cell]

Results
calculated formation energy = -184.8 kJ/mol of formula units

# 10
VASP calculation (PBE) on an optimized crystal structure of Nd8Ir2Os.

Lattice parameters (Å, degrees): 8.495 12.864 6.386 90.00 110.91 90.00
Space group Cm (No. 8)
Symmetry-distinct sites (fractional):
Nd (0.000, 0.000, 0.000) [2 per cell]
Nd (0.065, 0.368, 0.791) [4 per cell]
Nd (0.141, 0.131, 0.570) [4 per cell]
Nd (0.203, 0.500, 0.381) [2 per cell]
Nd (0.348, 0.205, 0.193) [4 per cell]
Ir (0.355, 0.314, 0.685) [4 per cell]
Os (0.354, 0.000, 0.372) [2 per cell]

Results
calculated formation energy = -250.6 kJ/mol of formula units

# 11
VASP calculation (PBE) on an optimized crystal structure of Nd2Si4Ir3Os.

Lattice parameters (Å, degrees): 4.225 4.225 9.773 90.00 90.00 90.00
Space group P-4m2 (No. 115)
Symmetry-distinct sites (fractional):
Nd (0.000, 0.500, 0.247) [2 per cell]
Si (0.000, 0.000, 0.000) [1 per cell]
Si (0.000, 0.500, 0.625) [2 per cell]
Si (0.500, 0.500, 0.000) [1 per cell]
Ir (0.000, 0.500, 0.875) [2 per cell]
Ir (0.500, 0.500, 0.500) [1 per cell]
Os (0.000, 0.000, 0.500) [1 per cell]

Results
formation energy without anion corrections = -946 meV per atom

# 12
VASP calculation (PBE) on an optimized crystal structure of NdP2Ir5.

Lattice parameters (Å, degrees): 3.980 6.879 9.381 90.00 90.00 90.00
Space group Immm (No. 71)
Symmetry-distinct sites (fractional):
Nd (0.000, 0.000, 0.000) [2 per cell]
P (0.000, 0.500, 0.247) [4 per cell]
Ir (0.000, 0.203, 0.352) [8 per cell]
Ir (0.000, 0.500, 0.000) [2 per cell]

Results
calculated formation energy = -499.1 kJ/mol of formula units

no.,raw total energy (eV per atom),size of the total moment (μB per cell)
1,-7.523,1.83
2,-7.500,5.92
3,-6.149,0.00
4,-6.367,3.17
5,-5.896,1.56
6,-7.521,5.91
7,-7.701,5.94
8,-8.035,4.06
9,-6.846,0.00
10,-6.336,0.00
11,-7.850,0.00
12,-8.133,0.00